Entry 1:
Sr3Ga3Pt2: relaxed, PBE.

abc: 8.2776 15.5858 6.2211
angles: 90.00 90.00 90.00
Space group Pnma (No. 62)
Unique sites:
Sr 0.0374 0.1069 0.1224
Sr 0.1824 0.2500 0.6247
Ga 0.1609 0.7500 0.5919
Ga 0.1702 0.0407 0.6139
Pt 0.1211 0.5988 0.3847

Calculated values
ΔE_f = -0.72 eV per atom

Entry 2:
RbZr4I7: relaxed, PBE.

abc: 6.1207 5.6300 23.0623
angles: 90.00 101.64 90.00
Space group P2/c (No. 13)
Unique sites:
Rb 0.0000 0.2483 0.2500
Zr 0.3428 0.2511 0.0038
Zr 0.4071 0.2511 0.5991
I 0.0938 0.2505 0.8714
I 0.1532 0.2493 0.4788
I 0.4250 0.2491 0.1355
I 0.5000 0.2510 0.7500

Calculated values
raw formation energy = -0.639 eV/atom

no.,D(E_F) (states/eV per cell),DFT total energy (eV/atom),total moment (μB/f.u.)
1,20.6,-3.99,0.000
2,8.9,-4.47,0.000